(1)
# La3Ho4Tl2

A relaxed structure of La3Ho4Tl2 (GGA-PBE, Alexandria via LeMat-Bulk).

Geometry as POSCAR:
```
La3Ho4Tl2
1.0
6.522 0.000 0.000
1.271 9.461 0.000
1.284 0.987 9.408
La Ho Tl
6 8 4
direct
0.075 0.333 0.460
0.250 0.030 0.970
0.425 0.540 0.667
0.575 0.460 0.333
0.750 0.970 0.030
0.925 0.667 0.540
0.073 0.643 0.187
0.092 0.985 0.653
0.406 0.348 0.016
0.427 0.813 0.358
0.573 0.187 0.642
0.594 0.652 0.984
0.908 0.015 0.347
0.927 0.357 0.813
0.070 0.697 0.871
0.431 0.129 0.303
0.569 0.871 0.697
0.930 0.303 0.129
```

Summary:
E: -38.42 eV per formula unit

***

(2)
# LaHo4Tl

A relaxed structure of LaHo4Tl (GGA-PBE, Alexandria via LeMat-Bulk).

Geometry as POSCAR:
```
LaHo4Tl
1.0
3.617 0.000 0.000
0.000 3.617 0.000
0.000 0.000 14.207
La Ho Tl
1 4 1
direct
0.000 0.000 0.000
0.000 0.000 0.353
0.000 0.000 0.647
0.500 0.500 0.181
0.500 0.500 0.819
0.500 0.500 0.500
```

Summary:
Energy above the most stable polymorph in this dataset: 0.0 meV/atom

***

(3)
# La9Ho2Tl

A relaxed structure of La9Ho2Tl (GGA-PBE, Alexandria via LeMat-Bulk).

Geometry as POSCAR:
```
La9Ho2Tl
1.0
5.145 0.000 0.000
0.000 5.145 0.000
0.000 0.000 15.617
La Ho Tl
9 2 1
direct
0.000 0.000 0.000
0.000 0.000 0.334
0.000 0.000 0.666
0.000 0.500 0.163
0.000 0.500 0.500
0.000 0.500 0.837
0.500 0.000 0.163
0.500 0.000 0.500
0.500 0.000 0.837
0.500 0.500 0.332
0.500 0.500 0.668
0.500 0.500 0.000
```

Summary:
E: -56.64 eV per formula unit

***

(4)
# LaHoTl4

A relaxed structure of LaHoTl4 (GGA-PBE, Alexandria via LeMat-Bulk).

Geometry as POSCAR:
```
LaHoTl4
1.0
3.655 -3.656 0.000
3.655 3.656 0.000
-0.016 0.000 7.607
La Ho Tl
1 1 4
direct
0.000 0.000 0.000
0.501 0.499 0.500
0.000 0.501 0.272
0.001 0.499 0.728
0.499 0.000 0.728
0.501 0.999 0.272
```

Summary:
Energy above the most stable polymorph in this dataset: 73.6 meV/atom

***

(5)
# LaHoTl2

A relaxed structure of LaHoTl2 (GGA-PBE, Alexandria via LeMat-Bulk).

Geometry as POSCAR:
```
LaHoTl2
1.0
5.132 0.000 0.000
0.000 5.132 0.000
0.000 0.000 4.448
La Ho Tl
1 1 2
direct
0.000 0.000 0.000
0.500 0.500 0.000
0.000 0.500 0.500
0.500 0.000 0.500
```

Summary:
E: -15.64 eV per formula unit

***

(6)
# La6HoTl

A relaxed structure of La6HoTl (GGA-PBE, Alexandria via LeMat-Bulk).

Geometry as POSCAR:
```
La6HoTl
1.0
5.121 0.000 0.000
0.000 5.121 0.000
0.000 0.000 10.395
La Ho Tl
6 1 1
direct
0.000 0.000 0.000
0.000 0.000 0.500
0.000 0.500 0.246
0.000 0.500 0.754
0.500 0.000 0.246
0.500 0.000 0.754
0.500 0.500 0.500
0.500 0.500 0.000
```

Summary:
Energy above the most stable polymorph in this dataset: 0.0 meV/atom